Entry 1:
First-principles (PBE) data for K3PbSe3 after structural relaxation, as listed in Alexandria.

POSCAR file:
```
K3PbSe3
1.0
4.600 -7.213 0.000
4.600 7.213 0.000
-1.321 0.000 8.003
K Pb Se
6 2 6
direct
0.178 0.822 0.000
0.238 0.762 0.500
0.384 0.384 0.131
0.616 0.616 0.869
0.762 0.238 0.500
0.822 0.178 0.000
0.193 0.193 0.626
0.807 0.807 0.374
0.082 0.082 0.262
0.174 0.479 0.779
0.479 0.174 0.779
0.521 0.826 0.221
0.826 0.521 0.221
0.918 0.918 0.738
```

offset from the most stable computed form	54	meV per atom
energy relative to the elements, uncorrected	-872.6	meV per atom
DFT total energy	-47.13	eV/cell



Entry 2:
First-principles (PBE) data for LaInGa3 after structural relaxation, as listed in Alexandria.

POSCAR file:
```
LaInGa3
1.0
5.715 0.000 0.000
0.000 5.715 0.000
0.000 0.000 5.715
La In Ga
1 1 3
direct
0.000 0.000 0.000
0.500 0.500 0.500
0.000 0.000 0.500
0.000 0.500 0.000
0.500 0.000 0.000
```

offset from the most stable computed form	501	meV per atom
DFT formation energy	0.661	eV/atom
DFT total energy	-13.44	eV/cell



What did the first record say?
First-principles (PBE) data for K3PbSe3 after structural relaxation, as listed in Alexandria.

POSCAR file:
```
K3PbSe3
1.0
4.600 -7.213 0.000
4.600 7.213 0.000
-1.321 0.000 8.003
K Pb Se
6 2 6
direct
0.178 0.822 0.000
0.238 0.762 0.500
0.384 0.384 0.131
0.616 0.616 0.869
0.762 0.238 0.500
0.822 0.178 0.000
0.193 0.193 0.626
0.807 0.807 0.374
0.082 0.082 0.262
0.174 0.479 0.779
0.479 0.174 0.779
0.521 0.826 0.221
0.826 0.521 0.221
0.918 0.918 0.738
```

offset from the most stable computed form	54	meV per atom
energy relative to the elements, uncorrected	-872.6	meV per atom
DFT total energy	-47.13	eV/cell